1.
{
  "formula": "Mg3Re5N12",
  "functional": "GGA-PBE",
  "state": "relaxed",
  "volume_a3_per_cell": 985.8,
  "space_group": "Ia-3d",
  "raw_formation_energy_ev_per_atom": -0.02,
  "lattice": [[-6.270, 6.270, 6.270], [6.270, -6.270, 6.270], [6.270, 6.270, -6.270]],
  "species": ["Mg", "Mg", "Mg", "Mg", "Mg", "Mg", "Mg", "Mg", "Mg", "Mg", "Mg", "Mg", "Re", "Re", "Re", "Re", "Re", "Re", "Re", "Re", "Re", "Re", "Re", "Re", "Re", "Re", "Re", "Re", "Re", "Re", "Re", "Re", "N", "N", "N", "N", "N", "N", "N", "N", "N", "N", "N", "N", "N", "N", "N", "N", "N", "N", "N", "N", "N", "N", "N", "N", "N", "N", "N", "N", "N", "N", "N", "N", "N", "N", "N", "N", "N", "N", "N", "N", "N", "N", "N", "N", "N", "N", "N", "N"],
  "fractional_positions": [[0.125, 0.250, 0.375], [0.125, 0.375, 0.750], [0.250, 0.375, 0.125], [0.250, 0.875, 0.625], [0.375, 0.125, 0.250], [0.375, 0.750, 0.125], [0.625, 0.250, 0.875], [0.625, 0.875, 0.750], [0.750, 0.125, 0.375], [0.750, 0.625, 0.875], [0.875, 0.625, 0.250], [0.875, 0.750, 0.625], [0.000, 0.000, 0.000], [0.000, 0.000, 0.500], [0.000, 0.500, 0.000], [0.000, 0.500, 0.500], [0.125, 0.750, 0.875], [0.125, 0.875, 0.250], [0.250, 0.125, 0.875], [0.250, 0.625, 0.375], [0.375, 0.250, 0.625], [0.375, 0.625, 0.750], [0.500, 0.000, 0.000], [0.500, 0.000, 0.500], [0.500, 0.500, 0.000], [0.500, 0.500, 0.500], [0.625, 0.375, 0.250], [0.625, 0.750, 0.375], [0.750, 0.375, 0.625], [0.750, 0.875, 0.125], [0.875, 0.125, 0.750], [0.875, 0.250, 0.125], [0.019, 0.200, 0.114], [0.019, 0.319, 0.905], [0.086, 0.700, 0.681], [0.086, 0.886, 0.405], [0.095, 0.614, 0.414], [0.095, 0.981, 0.681], [0.114, 0.019, 0.200], [0.114, 0.595, 0.914], [0.181, 0.200, 0.586], [0.181, 0.481, 0.595], [0.200, 0.114, 0.019], [0.200, 0.586, 0.181], [0.300, 0.319, 0.914], [0.300, 0.481, 0.386], [0.319, 0.905, 0.019], [0.319, 0.914, 0.300], [0.386, 0.300, 0.481], [0.386, 0.586, 0.905], [0.405, 0.086, 0.886], [0.405, 0.819, 0.519], [0.414, 0.095, 0.614], [0.414, 0.819, 0.800], [0.481, 0.386, 0.300], [0.481, 0.595, 0.181], [0.519, 0.405, 0.819], [0.519, 0.614, 0.700], [0.586, 0.181, 0.200], [0.586, 0.905, 0.386], [0.595, 0.181, 0.481], [0.595, 0.914, 0.114], [0.614, 0.414, 0.095], [0.614, 0.700, 0.519], [0.681, 0.086, 0.700], [0.681, 0.095, 0.981], [0.700, 0.519, 0.614], [0.700, 0.681, 0.086], [0.800, 0.414, 0.819], [0.800, 0.886, 0.981], [0.819, 0.519, 0.405], [0.819, 0.800, 0.414], [0.886, 0.405, 0.086], [0.886, 0.981, 0.800], [0.905, 0.019, 0.319], [0.905, 0.386, 0.586], [0.914, 0.114, 0.595], [0.914, 0.300, 0.319], [0.981, 0.681, 0.095], [0.981, 0.800, 0.886]]
}

2.
{
  "formula": "Ag2Pd2Br7",
  "functional": "GGA-PBE",
  "state": "relaxed",
  "relative_energy_mev_per_atom": 0,
  "volume_a3_per_cell": 709.8,
  "space_group": "C2/c",
  "raw_formation_energy_ev_per_atom": -0.20,
  "lattice": [[5.113, -4.907, 0.000], [5.113, 4.907, 0.000], [-3.107, 0.000, 14.145]],
  "species": ["Ag", "Ag", "Ag", "Ag", "Pd", "Pd", "Pd", "Pd", "Br", "Br", "Br", "Br", "Br", "Br", "Br", "Br", "Br", "Br", "Br", "Br", "Br", "Br"],
  "fractional_positions": [[0.141, 0.820, 0.596], [0.180, 0.859, 0.904], [0.820, 0.141, 0.096], [0.859, 0.180, 0.404], [0.150, 0.364, 0.755], [0.364, 0.150, 0.255], [0.636, 0.850, 0.745], [0.850, 0.636, 0.245], [0.072, 0.352, 0.303], [0.083, 0.209, 0.586], [0.172, 0.490, 0.924], [0.209, 0.083, 0.086], [0.352, 0.072, 0.803], [0.446, 0.554, 0.750], [0.490, 0.172, 0.424], [0.510, 0.828, 0.576], [0.554, 0.446, 0.250], [0.648, 0.928, 0.197], [0.791, 0.917, 0.914], [0.828, 0.510, 0.076], [0.917, 0.791, 0.414], [0.928, 0.648, 0.697]]
}

3.
{
  "formula": "KScN2",
  "functional": "GGA-PBE",
  "state": "relaxed",
  "relative_energy_mev_per_atom": 71,
  "volume_a3_per_cell": 211.5,
  "space_group": "R-3m",
  "raw_formation_energy_ev_per_atom": 0.02,
  "lattice": [[3.413, 0.000, 0.000], [-1.707, 2.956, 0.000], [0.000, 0.000, 20.965]],
  "species": ["K", "K", "K", "Sc", "Sc", "Sc", "N", "N", "N", "N", "N", "N"],
  "fractional_positions": [[0.000, 0.000, 0.000], [0.333, 0.667, 0.667], [0.667, 0.333, 0.333], [0.000, 0.000, 0.500], [0.333, 0.667, 0.167], [0.667, 0.333, 0.833], [0.000, 0.000, 0.119], [0.000, 0.000, 0.881], [0.333, 0.667, 0.548], [0.333, 0.667, 0.786], [0.667, 0.333, 0.214], [0.667, 0.333, 0.452]]
}

4.
{
  "formula": "Pb4Au3",
  "functional": "GGA-PBE",
  "state": "relaxed",
  "dft_energy_ev_per_cell": -24.791,
  "volume_a3_per_cell": 177.2,
  "space_group": "P6/mmm",
  "lattice": [[5.719, 0.000, 0.000], [-2.860, 4.953, 0.000], [0.000, 0.000, 6.255]],
  "species": ["Pb", "Pb", "Pb", "Pb", "Au", "Au", "Au"],
  "fractional_positions": [[0.000, 0.000, 0.249], [0.000, 0.000, 0.751], [0.333, 0.667, 0.500], [0.667, 0.333, 0.500], [0.000, 0.500, 0.000], [0.500, 0.000, 0.000], [0.500, 0.500, 0.000]]
}

5.
{
  "formula": "Tb3Ga2Co2",
  "functional": "GGA-PBE",
  "state": "relaxed",
  "dft_energy_ev_per_cell": -149.581,
  "volume_a3_per_cell": 558.5,
  "space_group": "Pbcm",
  "lattice": [[5.502, 0.000, 0.000], [0.000, 7.781, 0.000], [0.000, 0.000, 13.047]],
  "species": ["Tb", "Tb", "Tb", "Tb", "Tb", "Tb", "Tb", "Tb", "Tb", "Tb", "Tb", "Tb", "Ga", "Ga", "Ga", "Ga", "Ga", "Ga", "Ga", "Ga", "Co", "Co", "Co", "Co", "Co", "Co", "Co", "Co"],
  "fractional_positions": [[0.135, 0.242, 0.250], [0.135, 0.258, 0.750], [0.346, 0.599, 0.097], [0.346, 0.599, 0.403], [0.346, 0.901, 0.597], [0.346, 0.901, 0.903], [0.654, 0.099, 0.097], [0.654, 0.099, 0.403], [0.654, 0.401, 0.597], [0.654, 0.401, 0.903], [0.865, 0.742, 0.250], [0.865, 0.758, 0.750], [0.135, 0.250, 0.000], [0.135, 0.250, 0.500], [0.356, 0.604, 0.750], [0.356, 0.896, 0.250], [0.644, 0.104, 0.750], [0.644, 0.396, 0.250], [0.865, 0.750, 0.000], [0.865, 0.750, 0.500], [0.137, 0.533, 0.590], [0.137, 0.533, 0.910], [0.137, 0.967, 0.090], [0.137, 0.967, 0.410], [0.863, 0.033, 0.590], [0.863, 0.033, 0.910], [0.863, 0.467, 0.090], [0.863, 0.467, 0.410]]
}

6.
{
  "formula": "SrCuSe2",
  "functional": "GGA-PBE",
  "state": "relaxed",
  "volume_a3_per_cell": 438.1,
  "space_group": "R-3m",
  "raw_formation_energy_ev_per_atom": -0.78,
  "lattice": [[4.768, 0.000, 0.000], [-2.384, 4.129, 0.000], [0.000, 0.000, 22.251]],
  "species": ["Sr", "Sr", "Sr", "Cu", "Cu", "Cu", "Se", "Se", "Se", "Se", "Se", "Se"],
  "fractional_positions": [[0.000, 0.000, 0.000], [0.333, 0.667, 0.667], [0.667, 0.333, 0.333], [0.000, 0.000, 0.500], [0.333, 0.667, 0.167], [0.667, 0.333, 0.833], [0.000, 0.000, 0.400], [0.000, 0.000, 0.600], [0.333, 0.667, 0.067], [0.333, 0.667, 0.267], [0.667, 0.333, 0.733], [0.667, 0.333, 0.933]]
}

7.
{
  "formula": "CaGdPt",
  "functional": "GGA-PBE",
  "state": "relaxed",
  "relative_energy_mev_per_atom": 0,
  "volume_a3_per_cell": 336.1,
  "space_group": "F-43m",
  "lattice": [[6.953, 0.000, 0.000], [0.000, 6.953, 0.000], [0.000, 0.000, 6.953]],
  "species": ["Ca", "Ca", "Ca", "Ca", "Gd", "Gd", "Gd", "Gd", "Pt", "Pt", "Pt", "Pt"],
  "fractional_positions": [[0.000, 0.000, 0.000], [0.000, 0.500, 0.500], [0.500, 0.000, 0.500], [0.500, 0.500, 0.000], [0.000, 0.000, 0.500], [0.000, 0.500, 0.000], [0.500, 0.000, 0.000], [0.500, 0.500, 0.500], [0.250, 0.250, 0.250], [0.250, 0.750, 0.750], [0.750, 0.250, 0.750], [0.750, 0.750, 0.250]]
}

8.
{
  "formula": "B2HPb",
  "functional": "GGA-PBE",
  "state": "relaxed",
  "relative_energy_mev_per_atom": 1111,
  "volume_a3_per_cell": 206.5,
  "space_group": "Fm-3m",
  "lattice": [[5.911, 0.000, 0.000], [0.000, 5.911, 0.000], [0.000, 0.000, 5.911]],
  "species": ["B", "B", "B", "B", "B", "B", "B", "B", "H", "H", "H", "H", "Pb", "Pb", "Pb", "Pb"],
  "fractional_positions": [[0.250, 0.250, 0.250], [0.250, 0.250, 0.750], [0.250, 0.750, 0.250], [0.250, 0.750, 0.750], [0.750, 0.250, 0.250], [0.750, 0.250, 0.750], [0.750, 0.750, 0.250], [0.750, 0.750, 0.750], [0.000, 0.000, 0.000], [0.000, 0.500, 0.500], [0.500, 0.000, 0.500], [0.500, 0.500, 0.000], [0.000, 0.000, 0.500], [0.000, 0.500, 0.000], [0.500, 0.000, 0.000], [0.500, 0.500, 0.500]]
}

9.
{
  "formula": "La2Ga7Ni",
  "functional": "GGA-PBE",
  "state": "relaxed",
  "dft_energy_ev_per_cell": -42.222,
  "volume_a3_per_cell": 198.2,
  "space_group": "P-4m2",
  "lattice": [[4.328, 0.000, 0.000], [0.000, 4.328, 0.000], [0.000, 0.000, 10.580]],
  "species": ["La", "La", "Ga", "Ga", "Ga", "Ga", "Ga", "Ga", "Ga", "Ni"],
  "fractional_positions": [[0.000, 0.500, 0.241], [0.500, 0.000, 0.759], [0.000, 0.000, 0.000], [0.000, 0.000, 0.500], [0.000, 0.500, 0.641], [0.000, 0.500, 0.880], [0.500, 0.000, 0.120], [0.500, 0.000, 0.359], [0.500, 0.500, 0.500], [0.500, 0.500, 0.000]]
}

10.
{
  "formula": "BeNbO",
  "functional": "GGA-PBE",
  "state": "relaxed",
  "relative_energy_mev_per_atom": 0,
  "volume_a3_per_cell": 134.7,
  "space_group": "Cm",
  "raw_formation_energy_ev_per_atom": -1.47,
  "lattice": [[4.711, 0.000, 0.000], [0.000, 2.872, 0.000], [-0.809, 0.000, 9.952]],
  "species": ["Be", "Be", "Be", "Be", "Nb", "Nb", "Nb", "Nb", "O", "O", "O", "O"],
  "fractional_positions": [[0.000, 0.000, 0.000], [0.117, 0.500, 0.776], [0.500, 0.500, 0.000], [0.617, 0.000, 0.776], [0.388, 0.000, 0.269], [0.410, 0.500, 0.530], [0.888, 0.500, 0.269], [0.910, 0.000, 0.530], [0.346, 0.000, 0.047], [0.463, 0.500, 0.829], [0.846, 0.500, 0.047], [0.963, 0.000, 0.829]]
}